A plane-wave DFT calculation with PBE-GGA was carried out for a relaxed BeZnCu2 crystal.

## Properties
* ΔE_f: -0.087 eV/atom
* magnetization: 0.00 μB per cell
* VASP energy: -3.3852 eV/atom

a = 2.735 Å, b = 2.836 Å, c = 5.888 Å
α = 90.00°, β = 90.00°, γ = 90.00°
Space group Pmmm (No. 47)
Asymmetric unit:
Be  0.000  0.000  0.000
Zn  0.000  0.000  0.500
Cu  0.500  0.500  0.216

***

A plane-wave DFT calculation with PBE-GGA was carried out for a relaxed BeZn5Cu4 crystal.

## Properties
* ΔE_f: -0.006 eV/atom
* magnetization: 0.00 μB per cell
* VASP energy: -2.6537 eV/atom

a = 13.144 Å, b = 3.765 Å, c = 6.173 Å
α = 90.00°, β = 117.15°, γ = 90.00°
Space group C2/m (No. 12)
Asymmetric unit:
Be  0.000  0.000  0.000
Zn  0.000  0.000  0.500
Zn  0.164  0.500  0.628
Zn  0.178  0.500  0.232
Cu  0.018  0.500  0.801
Cu  0.171  0.000  0.933

***

A plane-wave DFT calculation with PBE-GGA was carried out for a relaxed BeZn2Cu crystal.

## Properties
* ΔE_f: 0.060 eV/atom
* magnetization: 0.00 μB per cell
* VASP energy: -2.5324 eV/atom

a = 2.618 Å, b = 2.618 Å, c = 7.121 Å
α = 90.00°, β = 90.00°, γ = 90.00°
Space group P4/mmm (No. 123)
Asymmetric unit:
Be  0.000  0.000  0.000
Zn  0.500  0.500  0.233
Cu  0.000  0.000  0.500

***

Number 1 is which compound?
BeZnCu2